First-principles (PBE) data for Th3Sb2As2 after structural relaxation, as listed in Alexandria.

Cell lengths 7.947, 7.947, 7.947 Å; angles 109.47, 109.47, 109.47 degrees
Element x y z (fractional)
1 Th 0.390 0.640 0.750
2 Th 0.110 0.860 0.250
3 Th 0.860 0.250 0.110
4 Th 0.640 0.750 0.390
5 Th 0.750 0.390 0.640
6 Th 0.250 0.110 0.860
7 Sb 0.500 0.000 0.171
8 Sb 0.329 0.329 0.329
9 Sb 0.171 0.500 0.000
10 Sb 0.000 0.171 0.500
11 As 0.849 0.849 0.849
12 As 0.500 0.000 0.651
13 As 0.651 0.500 0.000
14 As 0.000 0.651 0.500

Values from the calculation:
The symmetry is I2_13, No. 199. As for the energy relative to the elements, uncorrected: -1.10 eV per atom. The final energy is -6.7831 eV/atom.

First-principles (PBE) data for Th2SbAs after structural relaxation, as listed in Alexandria.

Cell lengths 3.751, 3.751, 7.550 Å; angles 90.00, 90.00, 90.00 degrees
Element x y z (fractional)
1 Sb 0.500 0.500 0.500
2 As 0.500 0.500 0.000
3 Th 0.000 0.000 0.760
4 Th 0.000 0.000 0.240

Values from the calculation:
The symmetry is P4/mmm, No. 123. As for the energy relative to the elements, uncorrected: -0.94 eV per atom. The final energy is -6.8416 eV/atom.

First-principles (PBE) data for Th3Sb2As after structural relaxation, as listed in Alexandria.

Cell lengths 7.638, 7.693, 7.643 Å; angles 80.45, 60.02, 70.61 degrees
Element x y z (fractional)
1 Th 0.574 0.234 0.348
2 Th 0.727 0.773 0.000
3 Th 0.426 0.766 0.652
4 Th 0.079 0.766 0.348
5 Th 0.921 0.234 0.652
6 Th 0.273 0.227 0.000
7 Sb 0.000 0.000 0.000
8 Sb 0.500 0.500 0.000
9 Sb 0.840 0.500 0.320
10 Sb 0.160 0.500 0.680
11 As 0.332 0.000 0.337
12 As 0.668 0.000 0.663

Values from the calculation:
The symmetry is C2/m, No. 12. As for the energy relative to the elements, uncorrected: -1.06 eV per atom. The excess energy over the best structure of this formula in the dataset is 0 meV/atom. The final energy is -6.9208 eV/atom.

> The highest final energy belongs to which entry?

Th3Sb2As2